The following is a PBE calculation of an optimized crystal structure of GdPuSiHg, from the Alexandria database.

Lattice parameters (Å, degrees): 7.313 7.313 7.313 90.00 90.00 90.00
Space group F-43m (No. 216)
Symmetry-distinct sites (fractional):
Gd 0.000 0.000 0.000 [4 per cell]
Pu 0.000 0.000 0.500 [4 per cell]
Si 0.250 0.250 0.250 [4 per cell]
Hg 0.250 0.250 0.750 [4 per cell]

Results
The value obtained for the formation energy (no corrections) is -1.13 eV per formula unit. The total energy is -141.07 eV/cell.

***

The following is a PBE calculation of an optimized crystal structure of Al5Zn6Ga, from the Alexandria database.

Lattice parameters (Å, degrees): 4.023 6.361 7.984 92.05 93.44 108.22
Space group P-1 (No. 2)
Symmetry-distinct sites (fractional):
Al 0.000 0.000 0.000 [1 per cell]
Al 0.333 0.666 0.502 [2 per cell]
Al 0.334 0.667 0.001 [2 per cell]
Zn 0.156 0.329 0.752 [2 per cell]
Zn 0.179 0.343 0.247 [2 per cell]
Zn 0.490 0.993 0.754 [2 per cell]
Ga 0.000 0.000 0.500 [1 per cell]

Results
The total energy is -28.97 eV/cell.